Entry 1:
# PBE-GGA Mg4Cu2Pt, relaxed
# **Magnetic moment**: 0.00 μB/f.u.
# **Crystal system**: trigonal
# **DOS at the Fermi energy**: 3.66 states/eV per cell
# **Raw total energy**: -3.261 eV/atom
data_Mg4Cu2Pt
_chemical_formula_sum 'Mg12 Cu6 Pt3'
_cell_length_a 4.4457
_cell_length_b 4.4457
_cell_length_c 21.5028
_cell_angle_alpha 90.00
_cell_angle_beta 90.00
_cell_angle_gamma 120.00
_symmetry_space_group_name_H-M 'R -3 m'
_symmetry_Int_Tables_number 166
_symmetry_space_group_name_Hall '-R 3 2"'
loop_
_atom_site_label
_atom_site_fract_x
_atom_site_fract_y
_atom_site_fract_z
_atom_site_occupancy
Mg1 0.0000 0.0000 0.1212 1
Mg2 0.0000 0.0000 0.3720 1
Cu1 0.0000 0.0000 0.2446 1
Pt1 0.0000 0.0000 0.5000 1



Entry 2:
# PBE-GGA MgCuPt6, relaxed
# **Magnetic moment**: 0.00 μB/f.u.
# **Crystal system**: tetragonal
# **DOS at the Fermi energy**: 8.83 states/eV per cell
# **Raw total energy**: -5.597 eV/atom
data_MgCuPt6
_chemical_formula_sum 'Mg1 Cu1 Pt6'
_cell_length_a 3.9271
_cell_length_b 3.9271
_cell_length_c 7.8958
_cell_angle_alpha 90.00
_cell_angle_beta 90.00
_cell_angle_gamma 90.00
_symmetry_space_group_name_H-M 'P 4/m m m'
_symmetry_Int_Tables_number 123
_symmetry_space_group_name_Hall '-P 4 2'
loop_
_atom_site_label
_atom_site_fract_x
_atom_site_fract_y
_atom_site_fract_z
_atom_site_occupancy
Mg1 0.0000 0.0000 0.0000 1
Cu1 0.0000 0.0000 0.5000 1
Pt1 0.0000 0.5000 0.2543 1
Pt2 0.5000 0.5000 0.0000 1
Pt3 0.5000 0.5000 0.5000 1



Entry 3:
# PBE-GGA Mg2CuPt, relaxed
# **Magnetic moment**: 0.00 μB/f.u.
# **Crystal system**: orthorhombic
# **DOS at the Fermi energy**: 0.84 states/eV per cell
# **Raw total energy**: -3.824 eV/atom
data_Mg2CuPt
_chemical_formula_sum 'Mg2 Cu1 Pt1'
_cell_length_a 2.9544
_cell_length_b 3.6199
_cell_length_c 5.9194
_cell_angle_alpha 90.00
_cell_angle_beta 90.00
_cell_angle_gamma 90.00
_symmetry_space_group_name_H-M 'P m m m'
_symmetry_Int_Tables_number 47
loop_
_symmetry_equiv_pos_as_xyz
'x,y,z'
'-x,-y,-z'
'-x,-y,z'
'x,y,-z'
'x,-y,-z'
'-x,y,z'
'-x,y,-z'
'x,-y,z'
loop_
_atom_site_label
_atom_site_fract_x
_atom_site_fract_y
_atom_site_fract_z
_atom_site_occupancy
Mg1 0.0000 0.0000 0.2467 1
Cu1 0.5000 0.5000 0.5000 1
Pt1 0.5000 0.5000 0.0000 1



Entry 4:
# PBE-GGA Mg8CuPt2, relaxed
# **Magnetic moment**: 0.00 μB/f.u.
# **Crystal system**: monoclinic
# **DOS at the Fermi energy**: 8.21 states/eV per cell
# **Raw total energy**: -3.054 eV/atom
# **Excess energy over the best structure of this formula in the dataset**: 0.00 eV per formula unit
data_Mg8CuPt2
_chemical_formula_sum 'Mg16 Cu2 Pt4'
_cell_length_a 15.3949
_cell_length_b 4.4702
_cell_length_c 6.5163
_cell_angle_alpha 90.00
_cell_angle_beta 111.73
_cell_angle_gamma 90.00
_symmetry_space_group_name_H-M 'C 1 2/m 1'
_symmetry_Int_Tables_number 12
loop_
_symmetry_equiv_pos_as_xyz
'x,y,z'
'-x,-y,-z'
'-x,y,-z'
'x,-y,z'
'x+1/2,y+1/2,z'
'-x+1/2,-y+1/2,-z'
'-x+1/2,y+1/2,-z'
'x+1/2,-y+1/2,z'
loop_
_atom_site_label
_atom_site_fract_x
_atom_site_fract_y
_atom_site_fract_z
_atom_site_occupancy
Mg1 0.0234 0.0000 0.2729 1
Mg2 0.1021 0.5000 0.9453 1
Mg3 0.1671 0.5000 0.4381 1
Mg4 0.1942 0.0000 0.7822 1
Cu1 0.0000 0.5000 0.5000 1
Pt1 0.1813 0.0000 0.1832 1



Entry 5:
# PBE-GGA Mg2CuPt, relaxed
# **Magnetic moment**: 0.00 μB/f.u.
# **Crystal system**: tetragonal
# **DOS at the Fermi energy**: 4.45 states/eV per cell
# **Raw total energy**: -3.499 eV/atom
data_Mg2CuPt
_chemical_formula_sum 'Mg8 Cu4 Pt4'
_cell_length_a 7.0679
_cell_length_b 7.0679
_cell_length_c 5.4821
_cell_angle_alpha 90.00
_cell_angle_beta 90.00
_cell_angle_gamma 90.00
_symmetry_space_group_name_H-M 'I -4 2 d'
_symmetry_Int_Tables_number 122
_symmetry_space_group_name_Hall 'I -4 2bw'
loop_
_atom_site_label
_atom_site_fract_x
_atom_site_fract_y
_atom_site_fract_z
_atom_site_occupancy
Mg1 0.2445 0.2500 0.1250 1
Cu1 0.0000 0.0000 0.0000 1
Pt1 0.0000 0.0000 0.5000 1



Entry 6:
# PBE-GGA MgCu2Pt, relaxed
# **Magnetic moment**: 0.00 μB/f.u.
# **Crystal system**: monoclinic
# **DOS at the Fermi energy**: 1.05 states/eV per cell
# **Raw total energy**: -4.279 eV/atom
data_MgCu2Pt
_chemical_formula_sum 'Mg1 Cu2 Pt1'
_cell_length_a 2.8386
_cell_length_b 3.6747
_cell_length_c 5.4570
_cell_angle_alpha 90.00
_cell_angle_beta 90.39
_cell_angle_gamma 90.00
_symmetry_space_group_name_H-M 'P 1 m 1'
_symmetry_Int_Tables_number 6
loop_
_symmetry_equiv_pos_as_xyz
'x,y,z'
'x,-y,z'
loop_
_atom_site_label
_atom_site_fract_x
_atom_site_fract_y
_atom_site_fract_z
_atom_site_occupancy
Mg1 0.0000 0.0000 0.0000 1
Cu1 0.0013 0.0000 0.5095 1
Cu2 0.5000 0.5000 0.7280 1
Pt1 0.5021 0.5000 0.2499 1



Q: Look up the DOS at the Fermi energy of the third one.
A: 0.84 states/eV per cell